Record 1
## Na3CaTl3 (PBE-GGA)

Data for a relaxed Na3CaTl3 crystal.

Computed properties:
- Theoretical density: 4.24 g/cm3
- E: -21.8 eV/cell
- Total magnetization: 0.0 μB/cell
- Energy relative to the elements: 29.6 kJ/mol of atoms

Geometry as CIF:
```
data_Na3CaTl3
_chemical_formula_sum 'Na6 Ca2 Tl6'
_symmetry_space_group_name_H-M 'P m -3 n'
_symmetry_Int_Tables_number 223
_symmetry_space_group_name_Hall '-P 4n 2 3'
_cell_length_a 8.2691
_cell_length_b 8.2691
_cell_length_c 8.2691
_cell_angle_alpha 90.00
_cell_angle_beta 90.00
_cell_angle_gamma 90.00
loop_
_atom_site_label
_atom_site_fract_x
_atom_site_fract_y
_atom_site_fract_z
Na1 0.0000 0.2500 0.5000
Ca1 0.0000 0.0000 0.0000
Tl1 0.0000 0.5000 0.2500
```

---

Record 2
## Na3CaTl (PBE-GGA)

Data for a relaxed Na3CaTl crystal.

Computed properties:
- Theoretical density: 2.57 g/cm3
- E: -7.5 eV/cell
- Relative energy among the computed polymorphs: 0 meV/atom
- Total magnetization: 0.0 μB/cell
- Energy relative to the elements: 16.6 kJ/mol of atoms

Geometry as CIF:
```
data_Na3CaTl
_chemical_formula_sum 'Na3 Ca1 Tl1'
_symmetry_space_group_name_H-M 'P m -3 m'
_symmetry_Int_Tables_number 221
_symmetry_space_group_name_Hall '-P 4 2 3'
_cell_length_a 5.8734
_cell_length_b 5.8734
_cell_length_c 5.8734
_cell_angle_alpha 90.00
_cell_angle_beta 90.00
_cell_angle_gamma 90.00
loop_
_atom_site_label
_atom_site_fract_x
_atom_site_fract_y
_atom_site_fract_z
Na1 0.0000 0.0000 0.5000
Ca1 0.5000 0.5000 0.5000
Tl1 0.0000 0.0000 0.0000
```

---

Record 3
## Na2Ca2Tl (PBE-GGA)

Data for a relaxed Na2Ca2Tl crystal.

Computed properties:
- Theoretical density: 3.24 g/cm3
- E: -17.9 eV/cell
- Relative energy among the computed polymorphs: 32 meV/atom
- Total magnetization: 0.0 μB/cell
- Energy relative to the elements: 1.5 kJ/mol of atoms

Geometry as CIF:
```
data_Na2Ca2Tl
_chemical_formula_sum 'Na4 Ca4 Tl2'
_symmetry_space_group_name_H-M 'P 4/m b m'
_symmetry_Int_Tables_number 127
_symmetry_space_group_name_Hall '-P 4 2ab'
_cell_length_a 8.0237
_cell_length_b 8.0237
_cell_length_c 5.2595
_cell_angle_alpha 90.00
_cell_angle_beta 90.00
_cell_angle_gamma 90.00
loop_
_atom_site_label
_atom_site_fract_x
_atom_site_fract_y
_atom_site_fract_z
Na1 0.1315 0.3685 0.0000
Ca1 0.1852 0.6852 0.5000
Tl1 0.0000 0.0000 0.0000
```